Record 1
Material: Tb3Nd6Y2
Method: DFT, PBE
State: optimized geometry

Cell lengths 4.7740, 4.7740, 34.2430 Å; angles 90.00, 90.00, 90.00 degrees
Space group I4/mmm (No. 139)
One atom of each set of equivalent atoms:
Tb (0.0000, 0.0000, 0.0000)
Tb (0.0000, 0.0000, 0.1952)
Nd (0.0000, 0.0000, 0.2951)
Nd (0.0000, 0.5000, 0.1209)
Y (0.0000, 0.0000, 0.4547)

Computed properties:
- crystal system = tetragonal
- formation energy (meV per atom) = 289
- distance to the lowest polymorph of the same formula (eV/atom) = 0.2782
- E (eV for the cell shown) = -104.49
- D(E_F) (states/eV/cell) = 32.83
- V (Å³/cell) = 780.4
- total moment (μB/cell) = 0.00

=====

Record 2
Material: Tb6Nd7Y16
Method: DFT, PBE
State: optimized geometry

Cell lengths 15.7510, 15.7510, 15.7510 Å; angles 90.00, 90.00, 90.00 degrees
Space group Fm-3m (No. 225)
One atom of each set of equivalent atoms:
Tb (0.0000, 0.0000, 0.2242)
Nd (0.0000, 0.0000, 0.0000)
Nd (0.0000, 0.2500, 0.2500)
Y (0.1130, 0.1130, 0.3870)
Y (0.1497, 0.1497, 0.1497)

Computed properties:
- crystal system = cubic
- formation energy (meV per atom) = 182
- E (eV for the cell shown) = -637.19
- D(E_F) (states/eV/cell) = 212.60
- V (Å³/cell) = 3907.7
- total moment (μB/cell) = 0.00

=====

Record 3
Material: TbNd15Y4
Method: DFT, PBE
State: optimized geometry

Cell lengths 5.1740, 5.1740, 25.7622 Å; angles 90.00, 90.00, 90.00 degrees
Space group P4/mmm (No. 123)
One atom of each set of equivalent atoms:
Tb (0.0000, 0.0000, 0.0000)
Nd (0.0000, 0.5000, 0.0999)
Nd (0.0000, 0.5000, 0.3000)
Nd (0.0000, 0.5000, 0.5000)
Nd (0.5000, 0.5000, 0.0000)
Nd (0.5000, 0.5000, 0.2001)
Nd (0.5000, 0.5000, 0.4000)
Y (0.0000, 0.0000, 0.2001)
Y (0.0000, 0.0000, 0.4001)

Computed properties:
- crystal system = tetragonal
- formation energy (meV per atom) = 10
- E (eV for the cell shown) = -101.81
- D(E_F) (states/eV/cell) = 27.61
- V (Å³/cell) = 689.7
- total moment (μB/cell) = 0.00

=====

Record 4
Material: TbNd2Y5
Method: DFT, PBE
State: optimized geometry

Cell lengths 7.1955, 14.3927, 5.0820 Å; angles 90.00, 90.00, 90.00 degrees
Space group Pbam (No. 55)
One atom of each set of equivalent atoms:
Tb (0.0000, 0.0000, 0.0000)
Nd (0.2494, 0.1246, 0.5000)
Y (0.9999, 0.2496, 0.0000)
Y (0.0000, 0.5000, 0.0000)
Y (0.2494, 0.8752, 0.5000)

Computed properties:
- crystal system = orthorhombic
- formation energy (meV per atom) = 20
- distance to the lowest polymorph of the same formula (eV/atom) = 0.0000
- E (eV for the cell shown) = -92.66
- D(E_F) (states/eV/cell) = 23.69
- V (Å³/cell) = 526.3
- total moment (μB/cell) = 0.00